BeVCoO after structural relaxation. Source: Alexandria via LeMat-Bulk, functional PBE+U.

extended XYZ file:
```
12
Lattice="-0.0951 -1.8134 2.0627 2.2288 0.1441 -1.6012 7.7311 13.1858 11.9481" Properties=species:S:1:pos:R:3 pbc="T T T"
V 4.1519 4.7614 6.2078
V 7.5035 9.8091 8.9692
V 0.8953 1.5270 1.3837
O 3.2569 3.2349 4.8246
O 0.0003 0.0005 0.0005
O 6.6085 8.2827 7.5860
Be 1.5241 -0.3892 -0.2719
Be 5.9035 7.7488 8.9148
Be 2.6469 4.5144 4.0907
Co 2.3309 1.6556 3.3935
Co 5.6826 6.7033 6.1549
Co 6.8054 11.6070 10.5175
```

space group	No. 160
DFT total energy	-5.724	eV/atom